[1]
The following is a PBE calculation of a relaxed structure of VTeI2N, from Alexandria via LeMat-Bulk.

Computed properties:
Excess energy over the best structure of this formula in the dataset: 780 meV/atom
Total energy: -3.7155 eV/atom
Energy relative to the elements, uncorrected: 1.022 eV/atom

```
VTeI2N
1.0
5.627 0.000 0.000
0.000 5.627 0.000
0.000 0.000 5.186
V Te I N
1 1 2 1
direct
0.000 0.000 0.000
0.000 0.000 0.500
0.000 0.500 0.000
0.500 0.000 0.000
0.500 0.500 0.500
```



[2]
The following is a PBE calculation of a relaxed structure of PmY2Bi, from Alexandria via LeMat-Bulk.

Computed properties:
ΔH_f (0 K): -179 meV/atom
Excess energy over the best structure of this formula in the dataset: 285 meV/atom
Total energy: -5.5694 eV/atom

```
PmY2Bi
1.0
0.000 3.901 3.901
3.901 0.000 3.901
3.901 3.901 0.000
Pm Y Bi
1 2 1
direct
0.000 0.000 0.000
0.250 0.250 0.250
0.750 0.750 0.750
0.500 0.500 0.500
```



[3]
The following is a PBE calculation of a relaxed structure of LiZrGeIr, from Alexandria via LeMat-Bulk.

Computed properties:
ΔH_f (0 K): -747 meV/atom
Total energy: -6.7325 eV/atom

```
LiZrGeIr
1.0
0.000 3.148 3.148
3.148 0.000 3.148
3.148 3.148 0.000
Li Zr Ge Ir
1 1 1 1
direct
0.000 0.000 0.000
0.750 0.750 0.750
0.250 0.250 0.250
0.500 0.500 0.500
```



[4]
The following is a PBE calculation of a relaxed structure of Ba4AgPb2, from Alexandria via LeMat-Bulk.

Computed properties:
ΔH_f (0 K): -430 meV/atom
Total energy: -2.9953 eV/atom

```
Ba4AgPb2
1.0
2.999 1.732 9.854
-2.999 1.732 9.854
0.000 -3.463 9.854
Ba Ag Pb
4 1 2
direct
0.122 0.122 0.122
0.372 0.372 0.372
0.628 0.628 0.628
0.878 0.878 0.878
0.000 0.000 0.000
0.247 0.247 0.247
0.753 0.753 0.753
```



[5]
The following is a PBE calculation of a relaxed structure of SrMgCl, from Alexandria via LeMat-Bulk.

Computed properties:
Excess energy over the best structure of this formula in the dataset: 0 meV/atom
Total energy: -2.6065 eV/atom
Energy relative to the elements, uncorrected: -0.899 eV/atom

```
SrMgCl
1.0
-1.908 1.908 7.652
1.908 -1.908 7.652
1.908 1.908 -7.652
Sr Mg Cl
1 1 1
direct
0.000 0.000 0.000
0.341 0.341 0.000
0.591 0.591 0.000
```



[6]
The following is a PBE calculation of a relaxed structure of Mo3W4, from Alexandria via LeMat-Bulk.

Computed properties:
ΔH_f (0 K): 274 meV/atom
Excess energy over the best structure of this formula in the dataset: 287 meV/atom
Total energy: -11.7695 eV/atom

```
Mo3W4
1.0
5.109 0.000 0.000
-2.554 4.424 0.000
0.000 0.000 5.100
Mo W
3 4
direct
0.000 0.500 0.000
0.500 0.000 0.000
0.500 0.500 0.000
0.000 0.000 0.257
0.000 0.000 0.743
0.333 0.667 0.500
0.667 0.333 0.500
```